A relaxed SbTeS4 crystal, computed with PBE.

Lattice parameters (Å, degrees): 6.5871 3.7783 6.8646 90.00 93.27 90.00
Space group P2/m (No. 10)
One atom of each set of equivalent atoms:
Sb 0.0000 0.0000 0.0000 [1 per cell]
Te 0.5000 0.5000 0.0000 [1 per cell]
S 0.1786 0.5000 0.2245 [2 per cell]
S 0.3177 0.0000 0.7742 [2 per cell]

Calculated values
For the formation energy without anion corrections, the calculation gives 0.01 eV per atom. Its raw total energy is -3.952 eV per atom.